(A)
Computed, not measured: Tl2In2Bi after structural relaxation at the PBE level of DFT.

a = 3.519 Å, b = 3.519 Å, c = 13.986 Å
α = 90.00°, β = 90.00°, γ = 120.00°
Atoms (fractional coordinates):
In (0.333, 0.667, 0.801)
Tl (0.333, 0.667, 0.395)
In (0.667, 0.333, 0.199)
Bi (0.000, 0.000, 0.000)
Tl (0.667, 0.333, 0.605)

## Properties
Size of the total moment ... 0.00 μB per formula unit
D(E_F) ... 2.43 states/eV/cell
Crystal system ... trigonal
Space-group type ... P-3m1, No. 164


(B)
Computed, not measured: Tl2In2Bi after structural relaxation at the PBE level of DFT.

a = 5.288 Å, b = 6.560 Å, c = 9.696 Å
α = 98.67°, β = 90.00°, γ = 113.77°
Atoms (fractional coordinates):
Tl (0.951, 0.901, 0.652)
Tl (0.844, 0.688, 0.963)
In (0.640, 0.280, 0.567)
Tl (0.156, 0.312, 0.037)
In (0.360, 0.720, 0.433)
Bi (0.259, 0.518, 0.722)
In (0.529, 0.057, 0.849)
Tl (0.049, 0.099, 0.348)
In (0.471, 0.943, 0.151)
Bi (0.741, 0.482, 0.278)

## Properties
Size of the total moment ... 0.00 μB per formula unit
D(E_F) ... 3.70 states/eV/cell
Crystal system ... monoclinic
Space-group type ... C2/m, No. 12


(C)
Computed, not measured: Tl2In2Bi after structural relaxation at the PBE level of DFT.

a = 4.238 Å, b = 4.238 Å, c = 9.344 Å
α = 76.89°, β = 76.89°, γ = 90.00°
Atoms (fractional coordinates):
Tl (0.405, 0.405, 0.190)
Bi (0.000, 0.000, 0.000)
In (0.250, 0.750, 0.500)
Tl (0.595, 0.595, 0.810)
In (0.750, 0.250, 0.500)

## Properties
Size of the total moment ... 0.00 μB per formula unit
D(E_F) ... 2.56 states/eV/cell
Crystal system ... tetragonal
Space-group type ... I4/mmm, No. 139


Name the most stable of them. (B).


(A)
Computed, not measured: TlIn3Bi3 after structural relaxation at the PBE level of DFT.

a = 8.425 Å, b = 8.425 Å, c = 8.425 Å
α = 90.00°, β = 90.00°, γ = 90.00°
Atoms (fractional coordinates):
In (0.000, 0.500, 0.750)
In (0.000, 0.500, 0.250)
Tl (0.000, 0.000, 0.000)
In (0.750, 0.000, 0.500)
Bi (0.250, 0.500, 0.000)
Bi (0.000, 0.750, 0.500)
In (0.500, 0.750, 0.000)
Bi (0.750, 0.500, 0.000)
Bi (0.500, 0.000, 0.750)
In (0.250, 0.000, 0.500)
Bi (0.000, 0.250, 0.500)
In (0.500, 0.250, 0.000)
Bi (0.500, 0.000, 0.250)
Tl (0.500, 0.500, 0.500)

## Properties
Size of the total moment ... 0.00 μB per formula unit
D(E_F) ... 6.60 states/eV/cell
Crystal system ... cubic
Space-group type ... Pm-3n, No. 223


(B)
Computed, not measured: TlIn3Bi3 after structural relaxation at the PBE level of DFT.

a = 7.820 Å, b = 7.820 Å, c = 7.820 Å
α = 72.75°, β = 72.75°, γ = 72.75°
Atoms (fractional coordinates):
Bi (0.108, 0.968, 0.671)
Bi (0.032, 0.329, 0.892)
In (0.390, 0.536, 0.817)
Bi (0.329, 0.892, 0.032)
In (0.817, 0.390, 0.536)
In (0.183, 0.610, 0.464)
Tl (0.254, 0.254, 0.254)
Tl (0.746, 0.746, 0.746)
Bi (0.671, 0.108, 0.968)
Bi (0.968, 0.671, 0.108)
In (0.536, 0.817, 0.390)
In (0.464, 0.183, 0.610)
In (0.610, 0.464, 0.183)
Bi (0.892, 0.032, 0.329)

## Properties
Size of the total moment ... 0.00 μB per formula unit
D(E_F) ... 7.14 states/eV/cell
Crystal system ... trigonal
Space-group type ... R-3, No. 148


Name the most stable of them. (B).


(A)
Computed, not measured: Tl2InBi2 after structural relaxation at the PBE level of DFT.

a = 9.667 Å, b = 9.667 Å, c = 3.513 Å
α = 90.00°, β = 90.00°, γ = 90.00°
Atoms (fractional coordinates):
Tl (0.631, 0.869, 0.500)
Bi (0.669, 0.169, 0.000)
In (0.000, 0.000, 0.000)
In (0.500, 0.500, 0.000)
Tl (0.369, 0.131, 0.500)
Bi (0.831, 0.669, 0.000)
Tl (0.131, 0.631, 0.500)
Bi (0.331, 0.831, 0.000)
Bi (0.169, 0.331, 0.000)
Tl (0.869, 0.369, 0.500)

## Properties
Size of the total moment ... 0.00 μB per formula unit
D(E_F) ... 6.31 states/eV/cell
Crystal system ... tetragonal
Space-group type ... P4/mbm, No. 127


(B)
Computed, not measured: Tl2InBi2 after structural relaxation at the PBE level of DFT.

a = 5.243 Å, b = 6.745 Å, c = 10.791 Å
α = 74.52°, β = 89.61°, γ = 67.00°
Atoms (fractional coordinates):
Tl (0.031, 0.935, 0.353)
Bi (0.339, 0.321, 0.382)
In (0.297, 0.407, 0.661)
In (0.703, 0.593, 0.339)
Bi (0.661, 0.679, 0.618)
Tl (0.849, 0.308, 0.935)
Bi (0.469, 0.066, 0.138)
Bi (0.531, 0.934, 0.862)
Tl (0.151, 0.692, 0.065)
Tl (0.969, 0.065, 0.647)

## Properties
Size of the total moment ... 0.00 μB per formula unit
D(E_F) ... 4.07 states/eV/cell
Crystal system ... triclinic
Space-group type ... P-1, No. 2


(C)
Computed, not measured: Tl2InBi2 after structural relaxation at the PBE level of DFT.

a = 4.777 Å, b = 4.777 Å, c = 8.337 Å
α = 73.35°, β = 73.35°, γ = 90.00°
Atoms (fractional coordinates):
Tl (0.750, 0.250, 0.500)
Bi (0.399, 0.399, 0.202)
Tl (0.250, 0.750, 0.500)
Bi (0.601, 0.601, 0.798)
In (0.000, 0.000, 0.000)

## Properties
Size of the total moment ... 0.00 μB per formula unit
D(E_F) ... 3.43 states/eV/cell
Crystal system ... tetragonal
Space-group type ... I4/mmm, No. 139


(D)
Computed, not measured: Tl2InBi2 after structural relaxation at the PBE level of DFT.

a = 4.587 Å, b = 4.587 Å, c = 9.017 Å
α = 75.27°, β = 75.27°, γ = 90.00°
Atoms (fractional coordinates):
Tl (0.401, 0.401, 0.198)
Bi (0.750, 0.250, 0.500)
Tl (0.599, 0.599, 0.802)
In (0.000, 0.000, 0.000)
Bi (0.250, 0.750, 0.500)

## Properties
Size of the total moment ... 0.00 μB per formula unit
D(E_F) ... 2.75 states/eV/cell
Crystal system ... tetragonal
Space-group type ... I4/mmm, No. 139


Name the most stable of them. (B).